Here is a relaxed structure of Pu2Mg from OQMD. Energies are from GGA-PBE.

Structure (extended XYZ):
```
6
Lattice="0.000 7.092 7.092 7.092 0.000 7.092 7.092 7.092 0.000" Properties=species:S:1:pos:R:3 pbc="T T T"
Pu 0.000 0.000 0.000
Pu 3.546 3.546 0.000
Pu 3.546 0.000 3.546
Pu 0.000 3.546 3.546
Mg 1.773 1.773 1.773
Mg 12.412 12.412 12.412
```

Properties
**Total DFT energy (no corrections)**: -7.82 eV per atom
**Total magnetic moment**: 13.50 μB per formula unit

Here is a relaxed structure of TbZrC2 from OQMD. Energies are from GGA-PBE.

Structure (extended XYZ):
```
4
Lattice="3.457 0.000 0.000 0.000 3.457 0.000 0.000 0.000 4.896" Properties=species:S:1:pos:R:3 pbc="T T T"
Tb 0.000 0.000 0.000
Zr 1.729 1.729 2.448
C 0.000 0.000 2.448
C 1.729 1.729 0.000
```

Properties
**Total DFT energy (no corrections)**: -8.22 eV per atom
**Total magnetic moment**: 0.00 μB per formula unit

Q: Which value of total magnetic moment does entry 1 give?
A: 13.50 μB per formula unit